No. 1
VASP calculation (PBE) on Rb2PaTlI8 after structural relaxation.

```
data_Rb2PaTlI8
_cell_length_a 7.0346
_cell_length_b 9.3462
_cell_length_c 10.1940
_cell_angle_alpha 99.04
_cell_angle_beta 99.04
_cell_angle_gamma 98.58
_space_group_name_H-M_alt 'P -1'
_space_group_IT_number 2
_space_group_name_Hall '-P 1'
loop_
_atom_site_label
_atom_site_type_symbol
_atom_site_fract_x
_atom_site_fract_y
_atom_site_fract_z
Rb1 Rb 0.2079 0.0295 0.3155
Pa1 Pa 0.0000 0.5000 0.0000
Tl1 Tl 0.0000 0.5000 0.5000
I1 I 0.1835 0.3397 0.7942
I2 I 0.2506 0.8532 0.6045
I3 I 0.2663 0.4191 0.2227
I4 I 0.2832 0.7682 0.0093
```

Computed properties:
E_form (uncorrected) ... -1.060 eV per atom

=====

No. 2
VASP calculation (PBE) on RbPaTlI6 after structural relaxation.

```
data_RbPaTlI6
_cell_length_a 8.6363
_cell_length_b 8.6363
_cell_length_c 15.2240
_cell_angle_alpha 90.00
_cell_angle_beta 90.00
_cell_angle_gamma 120.00
_space_group_name_H-M_alt 'P -3 1 c'
_space_group_IT_number 163
_space_group_name_Hall '-P 3 2c'
loop_
_atom_site_label
_atom_site_type_symbol
_atom_site_fract_x
_atom_site_fract_y
_atom_site_fract_z
Rb1 Rb 0.0000 0.0000 0.0000
Pa1 Pa 0.3333 0.6667 0.2500
Tl1 Tl 0.3333 0.6667 0.7500
I1 I 0.0414 0.3844 0.1338
```

Computed properties:
E_form (uncorrected) ... -1.037 eV per atom

=====

No. 3
VASP calculation (PBE) on Rb2PaTlI6 after structural relaxation.

```
data_Rb2PaTlI6
_cell_length_a 9.0831
_cell_length_b 9.0831
_cell_length_c 44.3903
_cell_angle_alpha 90.00
_cell_angle_beta 90.00
_cell_angle_gamma 120.00
_space_group_name_H-M_alt 'R -3 m'
_space_group_IT_number 166
_space_group_name_Hall '-R 3 2"'
loop_
_atom_site_label
_atom_site_type_symbol
_atom_site_fract_x
_atom_site_fract_y
_atom_site_fract_z
Rb1 Rb 0.0000 0.0000 0.1340
Rb2 Rb 0.0000 0.0000 0.2731
Pa1 Pa 0.0000 0.0000 0.0000
Pa2 Pa 0.0000 0.0000 0.5000
Tl1 Tl 0.0000 0.0000 0.4192
I1 I 0.0189 0.5095 0.7076
I2 I 0.0210 0.5105 0.8686
```

Computed properties:
E_form (uncorrected) ... -1.000 eV per atom

=====

No. 4
VASP calculation (PBE) on Pa2ReI2 after structural relaxation.

```
data_Pa2ReI2
_cell_length_a 7.0540
_cell_length_b 4.0722
_cell_length_c 12.1555
_cell_angle_alpha 90.00
_cell_angle_beta 102.38
_cell_angle_gamma 90.00
_space_group_name_H-M_alt 'C 1 2/m 1'
_space_group_IT_number 12
_space_group_name_Hall '-C 2y'
loop_
_atom_site_label
_atom_site_type_symbol
_atom_site_fract_x
_atom_site_fract_y
_atom_site_fract_z
Pa1 Pa 0.2125 0.0000 0.1243
Re1 Re 0.0000 0.5000 0.0000
I1 I 0.0499 0.0000 0.6838
```

Computed properties:
E_form (uncorrected) ... -0.503 eV per atom